Here is a geometry-optimized Sn3BI structure from Alexandria via LeMat-Bulk. Energies are from PBE.

offset from the most stable computed form = 0 meV per atom
theoretical density = 6.3 g cm⁻³
crystal system = cubic
spin magnetization = 0.00 μB per cell
ΔE_f (raw) = 0.597 eV/atom
final energy = -3.45 eV per atom

a b c (Å): 5.0682 5.0682 5.0682
angles (deg): 90.00 90.00 90.00
Last column: nearest neighbours and their distance in Å.
Fractional coordinates of all 5 atoms:
Sn  0.0000  0.0000  0.5000  2 B 2.53
Sn  0.0000  0.5000  0.0000  2 B 2.53
Sn  0.5000  0.0000  0.0000  2 B 2.53
B  0.0000  0.0000  0.0000  6 Sn 2.53
I  0.5000  0.5000  0.5000  12 Sn 3.58

Here is a geometry-optimized Sn3BI structure from Alexandria via LeMat-Bulk. Energies are from PBE.

offset from the most stable computed form = 1149 meV per atom
theoretical density = 4.0 g cm⁻³
crystal system = cubic
spin magnetization = 0.00 μB per cell
ΔE_f (raw) = 1.746 eV/atom
final energy = -2.30 eV per atom

a b c (Å): 5.8840 5.8840 5.8840
angles (deg): 90.00 90.00 90.00
Last column: nearest neighbours and their distance in Å.
Fractional coordinates of all 5 atoms:
Sn  0.0000  0.0000  0.5000  2 I 2.94
Sn  0.0000  0.5000  0.0000  2 I 2.94
Sn  0.5000  0.0000  0.0000  2 I 2.94
B  0.5000  0.5000  0.5000  12 Sn 4.16
I  0.0000  0.0000  0.0000  6 Sn 2.94

Here is a geometry-optimized SnB3I structure from Alexandria via LeMat-Bulk. Energies are from PBE.

offset from the most stable computed form = 367 meV per atom
theoretical density = 5.1 g cm⁻³
crystal system = cubic
spin magnetization = 0.00 μB per cell
ΔE_f (raw) = 2.378 eV/atom
final energy = -2.74 eV per atom

a b c (Å): 4.4772 4.4772 4.4772
angles (deg): 90.00 90.00 90.00
Last column: nearest neighbours and their distance in Å.
Fractional coordinates of all 5 atoms:
Sn  0.0000  0.0000  0.0000  12 B 3.17
B  0.0000  0.5000  0.5000  2 I 2.24
B  0.5000  0.0000  0.5000  2 I 2.24
B  0.5000  0.5000  0.0000  2 I 2.24
I  0.5000  0.5000  0.5000  6 B 2.24

Here is a geometry-optimized SrSnB2I structure from Alexandria via LeMat-Bulk. Energies are from PBE.

theoretical density = 4.3 g cm⁻³
crystal system = tetragonal
spin magnetization = 0.00 μB per cell
ΔE_f (raw) = 1.562 eV/atom
final energy = -2.56 eV per atom

a b c (Å): 4.8612 4.8612 5.8281
angles (deg): 90.00 90.00 90.00
Last column: nearest neighbours and their distance in Å.
Fractional coordinates of all 5 atoms:
Sr  0.0000  0.0000  0.0000  4 Sn 3.44, 8 B 3.79
Sn  0.5000  0.5000  0.0000  2 I 2.91
B  0.0000  0.5000  0.5000  2 I 2.43
B  0.5000  0.0000  0.5000  2 I 2.43
I  0.5000  0.5000  0.5000  4 B 2.43

Here is a geometry-optimized SnBTeI2 structure from Alexandria via LeMat-Bulk. Energies are from PBE.

offset from the most stable computed form = 491 meV per atom
theoretical density = 4.0 g cm⁻³
crystal system = tetragonal
spin magnetization = 0.00 μB per cell
ΔE_f (raw) = 1.064 eV/atom
final energy = -2.32 eV per atom

a b c (Å): 5.9856 5.9856 5.8611
angles (deg): 90.00 90.00 90.00
Last column: nearest neighbours and their distance in Å.
Fractional coordinates of all 5 atoms:
Sn  0.0000  0.0000  0.0000  2 Te 2.93, 4 I 2.99
B  0.5000  0.5000  0.5000  8 I 4.19, 4 Te 4.23
Te  0.0000  0.0000  0.5000  2 Sn 2.93
I  0.0000  0.5000  0.0000  2 Sn 2.99
I  0.5000  0.0000  0.0000  2 Sn 2.99

Here is a geometry-optimized SnBTe2I structure from Alexandria via LeMat-Bulk. Energies are from PBE.

offset from the most stable computed form = 672 meV per atom
theoretical density = 4.3 g cm⁻³
crystal system = tetragonal
spin magnetization = 0.00 μB per cell
ΔE_f (raw) = 1.233 eV/atom
final energy = -2.47 eV per atom

a b c (Å): 5.7400 5.7400 6.0183
angles (deg): 90.00 90.00 90.00
Last column: nearest neighbours and their distance in Å.
Fractional coordinates of all 5 atoms:
Sn  0.0000  0.0000  0.0000  4 Te 2.87, 2 I 3.01
B  0.5000  0.5000  0.5000  4 I 4.06, 8 Te 4.16
Te  0.0000  0.5000  0.0000  2 Sn 2.87
Te  0.5000  0.0000  0.0000  2 Sn 2.87
I  0.0000  0.0000  0.5000  2 Sn 3.01

Here is a geometry-optimized SnBTe2I structure from Alexandria via LeMat-Bulk. Energies are from PBE.

offset from the most stable computed form = 0 meV per atom
theoretical density = 6.6 g cm⁻³
crystal system = tetragonal
spin magnetization = 0.00 μB per cell
ΔE_f (raw) = 0.561 eV/atom
final energy = -3.14 eV per atom

a b c (Å): 4.9957 4.9957 5.1830
angles (deg): 90.00 90.00 90.00
Last column: nearest neighbours and their distance in Å.
Fractional coordinates of all 5 atoms:
Sn  0.0000  0.0000  0.0000  4 I 3.53, 8 Te 3.60
B  0.5000  0.5000  0.5000  4 Te 2.50, 2 I 2.59
Te  0.0000  0.5000  0.5000  2 B 2.50
Te  0.5000  0.0000  0.5000  2 B 2.50
I  0.5000  0.5000  0.0000  2 B 2.59

Here is a geometry-optimized SnBTeI2 structure from Alexandria via LeMat-Bulk. Energies are from PBE.

offset from the most stable computed form = 0 meV per atom
theoretical density = 6.2 g cm⁻³
crystal system = tetragonal
spin magnetization = 0.00 μB per cell
ΔE_f (raw) = 0.573 eV/atom
final energy = -2.81 eV per atom

a b c (Å): 5.0830 5.0830 5.2734
angles (deg): 90.00 90.00 90.00
Last column: nearest neighbours and their distance in Å.
Fractional coordinates of all 5 atoms:
Sn  0.0000  0.0000  0.0000  4 Te 3.59, 8 I 3.66
B  0.5000  0.5000  0.5000  4 I 2.54, 2 Te 2.64
Te  0.5000  0.5000  0.0000  2 B 2.64
I  0.0000  0.5000  0.5000  2 B 2.54
I  0.5000  0.0000  0.5000  2 B 2.54

> Look up the ΔE_f (raw) of the first one.

0.597 eV/atom